Entry 1:
A plane-wave DFT calculation with PBE-GGA was carried out for crystalline TaV2NiI at its relaxed geometry.

Geometry as POSCAR:
```
TaV2NiI
1.0
4.389 0.000 0.000
0.000 4.854 0.000
0.000 0.000 4.389
I Ni V Ta
1 1 2 1
direct
0.000 0.500 0.000 I
0.000 0.000 0.000 Ni
0.000 0.000 0.500 V
0.500 0.000 0.000 V
0.500 0.500 0.500 Ta
```

Summary:
The crystal system is tetragonal. Its formation energy from raw total energies is 1408 meV/atom. As for the space-group type: P4/mmm, No. 123.

=====

Entry 2:
A plane-wave DFT calculation with PBE-GGA was carried out for crystalline Tb4Ni2I5 at its relaxed geometry.

Geometry as POSCAR:
```
Tb4Ni2I5
1.0
4.046 0.000 0.000
0.000 8.584 0.714
-2.023 -1.703 11.384
Tb Ni I
4 2 5
direct
0.654 0.552 0.308 Tb
0.016 0.697 0.032 Tb
0.346 0.448 0.692 Tb
0.984 0.303 0.968 Tb
0.548 0.494 0.095 Ni
0.452 0.506 0.905 Ni
0.152 0.829 0.305 I
0.848 0.171 0.695 I
0.203 0.320 0.405 I
0.500 0.000 0.000 I
0.797 0.680 0.595 I
```

Summary:
The crystal system is monoclinic. Its formation energy from raw total energies is -848 meV/atom. As for the space-group type: C2/m, No. 12.

=====

Total energy list, top to bottom, in eV per atom: -6.08 -4.29